No. 1
# PBE-GGA ScGeP2S, optimized geometry
data_ScGeP2S
_cell_length_a 4.652
_cell_length_b 4.652
_cell_length_c 4.722
_cell_angle_alpha 90.00
_cell_angle_beta 90.00
_cell_angle_gamma 90.00
_space_group_name_H-M_alt 'P 4/m m m'
_space_group_IT_number 123
_space_group_name_Hall '-P 4 2'
loop_
_atom_site_label
_atom_site_fract_x
_atom_site_fract_y
_atom_site_fract_z
Sc1 0.000 0.000 0.000
Ge1 0.500 0.500 0.500
P1 0.000 0.500 0.500
S1 0.500 0.500 0.000
# Total moment: 0.000 μB/f.u.
# Mass density: 3.438 g/cm³
# E: -4.9384 eV/atom
# Crystal system: tetragonal

***

No. 2
# PBE-GGA Re3Pb, optimized geometry
data_Re3Pb
_cell_length_a 4.074
_cell_length_b 4.074
_cell_length_c 16.639
_cell_angle_alpha 90.00
_cell_angle_beta 90.00
_cell_angle_gamma 90.00
_space_group_name_H-M_alt 'I 4/m m m'
_space_group_IT_number 139
_space_group_name_Hall '-I 4 2'
loop_
_atom_site_label
_atom_site_fract_x
_atom_site_fract_y
_atom_site_fract_z
Re1 0.000 0.000 0.147
Re2 0.000 0.500 0.000
Re3 0.000 0.500 0.250
Pb1 0.000 0.000 0.382
# Total moment: 0.000 μB/f.u.
# Mass density: 18.417 g/cm³
# E: -9.2402 eV/atom
# Crystal system: tetragonal

***

No. 3
# PBE-GGA Sr3DyU2P6, optimized geometry
data_Sr3DyU2P6
_cell_length_a 7.144
_cell_length_b 12.372
_cell_length_c 7.322
_cell_angle_alpha 90.00
_cell_angle_beta 108.97
_cell_angle_gamma 90.00
_space_group_name_H-M_alt 'C 1 2/m 1'
_space_group_IT_number 12
loop_
_space_group_symop_operation_xyz
'x,y,z'
'-x,-y,-z'
'-x,y,-z'
'x,-y,z'
'x+1/2,y+1/2,z'
'-x+1/2,-y+1/2,-z'
'-x+1/2,y+1/2,-z'
'x+1/2,-y+1/2,z'
loop_
_atom_site_label
_atom_site_fract_x
_atom_site_fract_y
_atom_site_fract_z
Sr1 0.000 0.000 0.000
Sr2 0.000 0.335 0.000
Dy1 0.000 0.500 0.500
U1 0.000 0.167 0.500
P1 0.228 0.000 0.713
P2 0.243 0.328 0.713
# Total moment: 2.991 μB/f.u.
# Mass density: 5.900 g/cm³
# E: -6.5305 eV/atom
# Crystal system: monoclinic

***

No. 4
# PBE-GGA PmAg2Pd2, optimized geometry
data_PmAg2Pd2
_cell_length_a 9.412
_cell_length_b 4.567
_cell_length_c 5.418
_cell_angle_alpha 90.00
_cell_angle_beta 119.54
_cell_angle_gamma 90.00
_space_group_name_H-M_alt 'C 1 2/m 1'
_space_group_IT_number 12
loop_
_space_group_symop_operation_xyz
'x,y,z'
'-x,-y,-z'
'-x,y,-z'
'x,-y,z'
'x+1/2,y+1/2,z'
'-x+1/2,-y+1/2,-z'
'-x+1/2,y+1/2,-z'
'x+1/2,-y+1/2,z'
loop_
_atom_site_label
_atom_site_fract_x
_atom_site_fract_y
_atom_site_fract_z
Pm1 0.000 0.000 0.000
Ag1 0.129 0.500 0.764
Pd1 0.233 0.500 0.342
# Total moment: 0.000 μB/f.u.
# Mass density: 9.402 g/cm³
# E: -4.5162 eV/atom
# Crystal system: monoclinic

***

No. 5
# PBE-GGA Mg8ZnIn5, optimized geometry
data_Mg8ZnIn5
_cell_length_a 8.508
_cell_length_b 8.508
_cell_length_c 9.169
_cell_angle_alpha 90.00
_cell_angle_beta 90.00
_cell_angle_gamma 90.00
_space_group_name_H-M_alt 'I -4'
_space_group_IT_number 82
loop_
_space_group_symop_operation_xyz
'x,y,z'
'y,-x,-z'
'-x,-y,z'
'-y,x,-z'
'x+1/2,y+1/2,z+1/2'
'y+1/2,-x+1/2,-z+1/2'
'-x+1/2,-y+1/2,z+1/2'
'-y+1/2,x+1/2,-z+1/2'
loop_
_atom_site_label
_atom_site_fract_x
_atom_site_fract_y
_atom_site_fract_z
Mg1 0.075 0.308 0.404
Mg2 0.076 0.167 0.743
Zn1 0.000 0.000 0.500
In1 0.000 0.500 0.750
In2 0.109 0.229 0.068
# Total moment: 0.000 μB/f.u.
# Mass density: 4.173 g/cm³
# E: -2.0015 eV/atom
# Crystal system: tetragonal

***

No. 6
# PBE-GGA KGe2Pd2, optimized geometry
data_KGe2Pd2
_cell_length_a 8.126
_cell_length_b 8.126
_cell_length_c 2.889
_cell_angle_alpha 90.00
_cell_angle_beta 90.00
_cell_angle_gamma 90.00
_space_group_name_H-M_alt 'P 4/m b m'
_space_group_IT_number 127
_space_group_name_Hall '-P 4 2ab'
loop_
_atom_site_label
_atom_site_fract_x
_atom_site_fract_y
_atom_site_fract_z
K1 0.000 0.000 0.000
Ge1 0.131 0.369 0.000
Pd1 0.149 0.649 0.500
# Total moment: 0.000 μB/f.u.
# Mass density: 6.915 g/cm³
# E: -4.3341 eV/atom
# Crystal system: tetragonal

***

No. 7
# PBE-GGA K3NaAu, optimized geometry
data_K3NaAu
_cell_length_a 6.487
_cell_length_b 6.487
_cell_length_c 6.487
_cell_angle_alpha 90.00
_cell_angle_beta 90.00
_cell_angle_gamma 90.00
_space_group_name_H-M_alt 'P m -3 m'
_space_group_IT_number 221
_space_group_name_Hall '-P 4 2 3'
loop_
_atom_site_label
_atom_site_fract_x
_atom_site_fract_y
_atom_site_fract_z
K1 0.000 0.000 0.500
Na1 0.500 0.500 0.500
Au1 0.000 0.000 0.000
# Total moment: 0.000 μB/f.u.
# Mass density: 2.051 g/cm³
# E: -1.6731 eV/atom
# Crystal system: cubic

***

No. 8
# PBE-GGA Ta2MnCu2S6, optimized geometry
data_Ta2MnCu2S6
_cell_length_a 5.714
_cell_length_b 10.679
_cell_length_c 6.258
_cell_angle_alpha 90.00
_cell_angle_beta 102.06
_cell_angle_gamma 90.00
_space_group_name_H-M_alt 'C 1 2/m 1'
_space_group_IT_number 12
loop_
_space_group_symop_operation_xyz
'x,y,z'
'-x,-y,-z'
'-x,y,-z'
'x,-y,z'
'x+1/2,y+1/2,z'
'-x+1/2,-y+1/2,-z'
'-x+1/2,y+1/2,-z'
'x+1/2,-y+1/2,z'
loop_
_atom_site_label
_atom_site_fract_x
_atom_site_fract_y
_atom_site_fract_z
Ta1 0.000 0.134 0.000
Mn1 0.000 0.500 0.000
Cu1 0.000 0.127 0.500
S1 0.194 0.335 0.218
S2 0.247 0.000 0.268
# Total moment: 0.999 μB/f.u.
# Mass density: 6.547 g/cm³
# E: -6.6051 eV/atom
# Crystal system: monoclinic

***

- total moment of number 3 (Sr3DyU2P6)?
  2.991 μB/f.u.

***

- What is the formula in the sixth record?
  KGe2Pd2

***

- Among the records above, which one has the highest mass density?
  Re3Pb